A plane-wave DFT calculation with PBE-GGA was carried out for crystalline TlRe2TePb at its relaxed geometry.

abc: 5.196 5.196 5.830
angles: 90.00 90.00 90.00
Space group P4/mmm (No. 123)
One atom of each set of equivalent atoms:
Tl1 0.000 0.000 0.000
Re1 0.000 0.500 0.000
Te1 0.000 0.000 0.500
Pb1 0.500 0.500 0.500

Calculated values
N(E_F) in states/eV/cell: 5.2
Raw total energy in eV/f.u.: -22.4